The following is a GGA-PBE calculation of a geometry-optimized CeTm3Ag4 structure, from Alexandria via LeMat-Bulk.

As for the formation energy: -0.255 eV per atom. The total energy comes out at -4.099 eV per atom.

It has space group P4/mmm (No. 123), with a = 5.122 Å, b = 5.122 Å, c = 7.275 Å, α = 90.00°, β = 90.00° and γ = 90.00°. Symmetry generates all atoms from Ce at (0.000, 0.000, 0.000), Tm at (0.000, 0.000, 0.500), Tm at (0.500, 0.500, 0.000), Tm at (0.500, 0.500, 0.500) and Ag at (0.000, 0.500, 0.263).